Here is a relaxed structure of HgSbPCl2 from Alexandria via LeMat-Bulk. Energies are from PBE-GGA.

The offset from the most stable computed form comes out at 0.000 eV per atom. As for the formation energy without anion corrections: 0.08 eV/atom. The magnetic moment comes out at 1.67 μB/f.u. The value obtained for the energy is -2.624 eV/atom.

The structure belongs to space group P4/mmm (No. 123); the cell edges are 5.3426, 5.3426 and 5.4316 Å and the angles 90.00°, 90.00° and 90.00°. Symmetry generates all atoms from Hg at (0.0000, 0.0000, 0.0000), Sb at (0.5000, 0.5000, 0.5000), P at (0.5000, 0.5000, 0.0000) and Cl at (0.0000, 0.5000, 0.5000).